The following is a GGA-PBE calculation of an optimized crystal structure of LaZr3Pt, from Alexandria.

Calculated values
Calculated formation energy, eV/atom: -0.007
Symmetry: Pm-3m (221)
Excess energy over the best structure of this formula in the dataset, meV/atom: 0
Density of states at the Fermi level, states/eV/atom: 1.500

The structure in POSCAR format:
```
LaZr3Pt
1.0
5.202 0.000 0.000
0.000 5.202 0.000
0.000 0.000 5.202
La Zr Pt
1 3 1
direct
0.000 0.000 0.000
0.000 0.500 0.500
0.500 0.000 0.500
0.500 0.500 0.000
0.500 0.500 0.500
```